1.
A plane-wave DFT calculation with PBE was carried out for an optimized crystal structure of Na4TlIn4.

The structure belongs to space group P4_2/n (No. 86, origin choice 2); the cell edges are 9.061, 9.061 and 6.384 Å and the angles 90.00°, 90.00° and 90.00°. The asymmetric unit holds Na at (0.076, 0.823, 0.109), Tl at (0.250, 0.250, 0.750) and In at (0.062, 0.144, 0.372).

The density of states at the Fermi level comes out at 8.0 states/eV/cell.


2.
A plane-wave DFT calculation with PBE was carried out for an optimized crystal structure of ScTiCuSn.

The structure belongs to space group F-43m (No. 216); the cell edges are 6.653, 6.653 and 6.653 Å and the angles 90.00°, 90.00° and 90.00°. The asymmetric unit holds Sc at (0.000, 0.000, 0.000), Ti at (0.000, 0.000, 0.500), Cu at (0.250, 0.250, 0.250) and Sn at (0.250, 0.250, 0.750).

The density of states at the Fermi level comes out at 14.1 states/eV/cell.


3.
A plane-wave DFT calculation with PBE was carried out for an optimized crystal structure of Th2ZnCu2Rh5.

The structure belongs to space group P4/mbm (No. 127); the cell edges are 9.445, 9.445 and 3.820 Å and the angles 90.00°, 90.00° and 90.00°. The asymmetric unit holds Th at (0.176, 0.324, 0.000), Zn at (0.000, 0.000, 0.000), Cu at (0.122, 0.622, 0.000), Rh at (0.000, 0.500, 0.500) and Rh at (0.072, 0.799, 0.500).

The density of states at the Fermi level comes out at 16.7 states/eV/cell.


4.
A plane-wave DFT calculation with PBE was carried out for an optimized crystal structure of Ho4Sb2Pb.

The structure belongs to space group I4_1/amd (No. 141, origin choice 2); the cell edges are 9.642, 9.642 and 9.461 Å and the angles 90.00°, 90.00° and 90.00°. The asymmetric unit holds Ho at (0.000, 0.064, 0.191), Sb at (0.000, 0.000, 0.500) and Pb at (0.000, 0.250, 0.875).

As for the uncorrected formation energy: -0.6552 eV/atom. The density of states at the Fermi level comes out at 19.0 states/eV/cell.


| no. | uncorrected energy (eV/atom) |
| --- | --- |
| 1 | -2.14 |
| 2 | -5.84 |
| 3 | -6.65 |
| 4 | -4.98 |